No. 1
ZnInHg3 | PBE | relaxed

Geometry as POSCAR:
```
ZnInHg3
1.0
5.7278 0.0000 0.0000
0.0000 5.7278 0.0000
0.0000 0.0000 5.7278
Zn In Hg
1 1 3
Cartesian
0.0000 0.0000 0.0000
2.8639 2.8639 2.8639
0.0000 2.8639 2.8639
2.8639 0.0000 2.8639
2.8639 2.8639 0.0000
```

Results
ΔE to the lowest computed polymorph = 1.05 eV per formula unit
total DFT energy (no corrections) = -0.723 eV/atom
DFT formation energy = 25.18 kJ per mole of atoms

No. 2
ZnInHg2 | PBE | relaxed

Geometry as POSCAR:
```
ZnInHg2
1.0
-1.8960 2.6566 4.7754
1.8960 -2.6566 4.7754
1.8960 2.6566 -4.7754
Zn In Hg
1 1 2
Cartesian
0.0000 0.0000 0.0000
0.0000 0.0000 4.7754
1.8960 0.0000 2.1690
0.0000 2.6566 2.6065
```

Results
total DFT energy (no corrections) = -1.069 eV/atom
DFT formation energy = 8.19 kJ per mole of atoms

No. 3
Zn2InHg | PBE | relaxed

Geometry as POSCAR:
```
Zn2InHg
1.0
3.0823 -1.6489 0.0000
3.0823 1.6489 0.0000
-1.3594 0.0000 8.4984
Zn In Hg
2 1 1
Cartesian
0.0000 0.0000 0.0000
0.4310 0.0000 4.3508
4.3976 0.0000 2.1609
2.5290 0.0000 6.4034
```

Results
ΔE to the lowest computed polymorph = 0.15 eV per formula unit
total DFT energy (no corrections) = -1.271 eV/atom
DFT formation energy = 12.13 kJ per mole of atoms

No. 4
Zn3InHg | PBE | relaxed

Geometry as POSCAR:
```
Zn3InHg
1.0
5.0607 0.0000 0.0000
0.0000 5.0607 0.0000
0.0000 0.0000 5.0607
Zn In Hg
3 1 1
Cartesian
0.0000 0.0000 2.5303
0.0000 2.5303 0.0000
2.5303 0.0000 0.0000
2.5303 2.5303 2.5303
0.0000 0.0000 0.0000
```

Results
ΔE to the lowest computed polymorph = 0.00 eV per formula unit
total DFT energy (no corrections) = -0.997 eV/atom
DFT formation energy = 36.18 kJ per mole of atoms

Question: Among the records above, which one has the lowest total DFT energy (no corrections)?
Answer: Zn2InHg